Entry 1:
Entry from Alexandria: KMn2Re at its PBEsol-relaxed geometry (SCAN).

a = 2.618 Å, b = 3.342 Å, c = 8.067 Å
α = 90.00°, β = 90.00°, γ = 90.00°
Space group Pmm2 (No. 25)
Inequivalent atoms, fractional coordinates:
1 K 0.000 0.000 0.000
2 Mn 0.000 0.000 0.462
3 Mn 0.500 0.500 0.345
4 Re 0.500 0.500 0.641

Properties
ΔE to the lowest computed polymorph in kJ/mol of formula units: 132
Formation enthalpy at 0 K in eV per atom: 0.7664

***

Entry 2:
Entry from Alexandria: Ti2CdBr2 at its PBEsol-relaxed geometry (SCAN).

a = 4.375 Å, b = 4.375 Å, c = 11.099 Å
α = 90.00°, β = 90.00°, γ = 90.00°
Space group I4/mmm (No. 139)
Inequivalent atoms, fractional coordinates:
1 Ti 0.000 0.000 0.109
2 Cd 0.000 0.000 0.500
3 Br 0.000 0.500 0.250

Properties
ΔE_f (raw) in meV per atom: -114

***

Entry 3:
Entry from Alexandria: Y3Cu at its PBEsol-relaxed geometry (SCAN).

a = 3.446 Å, b = 3.446 Å, c = 8.600 Å
α = 90.00°, β = 90.00°, γ = 90.00°
Space group P4/mmm (No. 123)
Inequivalent atoms, fractional coordinates:
1 Y 0.000 0.000 0.000
2 Y 0.500 0.500 0.304
3 Cu 0.000 0.000 0.500

Properties
Formation enthalpy at 0 K in eV per atom: -0.0980